1.
A plane-wave DFT calculation with PBE was carried out for Ce3Cu3Bi4 after structural relaxation.

As for the formation energy: -501 meV per atom.

The structure belongs to space group I-43d (No. 220); the cell edges are 9.987, 9.987 and 9.987 Å and the angles 90.00°, 90.00° and 90.00°. The inequivalent atoms are Ce at (0.000, 0.250, 0.875), Cu at (0.000, 0.250, 0.375) and Bi at (0.083, 0.417, 0.583).



2.
A plane-wave DFT calculation with PBE was carried out for Rb2PtWCl6 after structural relaxation.

For the calculated total energy, the calculation gives -4.1031 eV per atom.

The structure belongs to space group I4/mmm (No. 139); the cell edges are 8.117, 8.117 and 9.094 Å and the angles 90.00°, 90.00° and 90.00°. The inequivalent atoms are Rb at (0.000, 0.500, 0.250), Pt at (0.000, 0.000, 0.000), W at (0.000, 0.000, 0.500), Cl at (0.000, 0.000, 0.243) and Cl at (0.212, 0.212, 0.500).



3.
A plane-wave DFT calculation with PBE was carried out for MgFeTc2 after structural relaxation.

As for the formation energy: 203 meV per atom.

The structure belongs to space group Imm2 (No. 44); the cell edges are 3.138, 4.362 and 8.401 Å and the angles 90.00°, 90.00° and 90.00°. The inequivalent atoms are Mg at (0.000, 0.000, 0.000), Fe at (0.000, 0.500, 0.243), Tc at (0.000, 0.000, 0.506) and Tc at (0.000, 0.500, 0.768).



- What is the formula in the first record?
  Ce3Cu3Bi4